Entry 1:
The following is a PBE-GGA calculation of a relaxed structure of NdHo2Ga, from the Alexandria database.

Summary:
- total magnetization (μB per atom) = 0.000
- crystal system = tetragonal
- energy relative to the elements (meV/atom) = -287
- space group = No. 123
- energy above the most stable polymorph in this dataset (meV per atom) = 0

abc: 3.5316 3.5316 8.9583
angles: 90.00 90.00 90.00
Closest atoms and distances in Å follow each position.
Atoms (fractional coordinates):
1 Nd 0.5000 0.5000 0.5000  4 Nd 3.53, 8 Ho 3.64
2 Ho 0.0000 0.0000 0.7953  4 Ga 3.10
3 Ho 0.0000 0.0000 0.2047  4 Ga 3.10
4 Ga 0.5000 0.5000 0.0000  8 Ho 3.10

---

Entry 2:
The following is a PBE-GGA calculation of a relaxed structure of Hf7Bi2H2, from the Alexandria database.

Summary:
- total magnetization (μB per atom) = 0.000
- crystal system = monoclinic
- space group = No. 12
- E (eV/atom) = -7.743

abc: 6.1366 6.0125 6.0125
angles: 101.34 94.74 94.74
Closest atoms and distances in Å follow each position.
Atoms (fractional coordinates):
1 Hf 0.6632 0.8351 0.5005  1 H 1.95
2 Hf 0.1702 0.6640 0.6640  1 H 2.09
3 Bi 0.0000 0.8254 0.1746  6 Hf 2.96-3.31, 1 Bi 3.25
4 Hf 0.3368 0.4995 0.1649  1 H 1.95
5 Bi 0.0000 0.1746 0.8254  6 Hf 2.96-3.31, 1 Bi 3.25
6 Hf 0.8298 0.3360 0.3360  1 H 2.09
7 Hf 0.3368 0.1649 0.4995  1 H 1.95
8 Hf 0.6632 0.5005 0.8351  1 H 1.95
9 H 0.5085 0.7446 0.7446  4 Hf 1.95-2.09
10 H 0.4915 0.2554 0.2554  4 Hf 1.95-2.09
11 Hf 0.5000 0.0000 0.0000  2 H 1.95

---

Entry 3:
The following is a PBE-GGA calculation of a relaxed structure of CuNi2MoRh, from the Alexandria database.

Summary:
- total magnetization (μB per atom) = 0.621
- crystal system = tetragonal
- energy relative to the elements (meV/atom) = 1481
- space group = No. 123

abc: 4.5437 4.5971 4.5437
angles: 90.00 90.00 90.00
Closest atoms and distances in Å follow each position.
Atoms (fractional coordinates):
1 Mo 0.0000 0.5000 0.0000  2 Rh 2.30
2 Ni 0.5000 0.0000 0.0000  2 Rh 2.27
3 Rh 0.0000 0.0000 0.0000  4 Ni 2.27, 2 Mo 2.30
4 Cu 0.5000 0.5000 0.5000  4 Mo 3.21, 8 Ni 3.23
5 Ni 0.0000 0.0000 0.5000  2 Rh 2.27

---

Entry 4:
The following is a PBE-GGA calculation of a relaxed structure of La2Si2Au, from the Alexandria database.

Summary:
- total magnetization (μB per atom) = 0.000
- crystal system = monoclinic
- space group = No. 12
- energy above the most stable polymorph in this dataset (meV per atom) = 0

abc: 4.4053 6.0585 10.0201
angles: 83.51 77.30 68.68
Closest atoms and distances in Å follow each position.
Atoms (fractional coordinates):
1 Si 0.0308 0.3504 0.5880  1 Si 2.37, 2 Au 2.53
2 Si 0.6080 0.8924 0.8916  1 Si 2.48, 1 Au 2.61
3 La 0.7142 0.2231 0.3484  4 Au 3.26-3.28, 7 Si 3.27-3.34
4 Si 0.9692 0.6496 0.4120  1 Si 2.37, 2 Au 2.53
5 La 0.1097 0.6909 0.0896  6 Si 3.12-3.29, 2 Au 3.20
6 La 0.8903 0.3091 0.9104  6 Si 3.12-3.29, 2 Au 3.20
7 Au 0.4407 0.8025 0.3160  3 Si 2.53-2.61
8 La 0.2858 0.7769 0.6516  4 Au 3.26-3.28, 7 Si 3.27-3.34
9 Si 0.3920 0.1076 0.1084  1 Si 2.48, 1 Au 2.61
10 Au 0.5593 0.1975 0.6840  3 Si 2.53-2.61

---

Entry 5:
The following is a PBE-GGA calculation of a relaxed structure of CaTlZn2, from the Alexandria database.

Summary:
- total magnetization (μB per atom) = 0.000
- crystal system = tetragonal
- energy relative to the elements (meV/atom) = -90
- space group = No. 123

abc: 3.7081 3.7081 6.8516
angles: 90.00 90.00 89.99
Closest atoms and distances in Å follow each position.
Atoms (fractional coordinates):
1 Tl 0.5000 0.5000 0.7500  8 Zn 3.09, 2 Ca 3.43
2 Zn 0.0000 0.0000 0.9884  4 Tl 3.09, 4 Ca 3.18, 1 Zn 3.27
3 Ca 0.5000 0.5000 0.2500  8 Zn 3.18, 2 Tl 3.43
4 Zn 0.0000 0.0000 0.5116  4 Tl 3.09, 4 Ca 3.18, 1 Zn 3.27

---

Entry 6:
The following is a PBE-GGA calculation of a relaxed structure of CeEr2Sb, from the Alexandria database.

Summary:
- total magnetization (μB per atom) = 0.172
- crystal system = trigonal
- space group = No. 166
- energy above the most stable polymorph in this dataset (meV per atom) = 228

abc: 3.5466 3.5466 10.7679
angles: 80.52 80.52 60.00
Closest atoms and distances in Å follow each position.
Atoms (fractional coordinates):
1 Er 0.7442 0.7442 0.7674  3 Sb 3.20, 3 Ce 3.49, 6 Er 3.55
2 Sb 0.0000 0.0000 0.0000  6 Er 3.20, 6 Sb 3.55
3 Er 0.2558 0.2558 0.2326  3 Sb 3.20, 3 Ce 3.49, 6 Er 3.55
4 Ce 0.5000 0.5000 0.5000  6 Er 3.49, 6 Ce 3.55

---

Entry 7:
The following is a PBE-GGA calculation of a relaxed structure of Ho7Tl2Sb2, from the Alexandria database.

Summary:
- total magnetization (μB per atom) = 0.000
- crystal system = orthorhombic
- space group = No. 65
- E (eV/atom) = -4.355

abc: 6.8999 7.4728 6.8999
angles: 90.00 105.19 90.00
Closest atoms and distances in Å follow each position.
Atoms (fractional coordinates):
1 Ho 0.0000 0.0000 0.0000  2 Sb 3.09
2 Tl 0.1810 0.5000 0.1810  1 Tl 3.04, 6 Ho 3.20-3.26
3 Tl 0.8190 0.5000 0.8190  1 Tl 3.04, 6 Ho 3.20-3.26
4 Ho 0.4997 0.2785 0.0002  2 Sb 2.97, 2 Tl 3.25-3.26, 1 Ho 3.31
5 Ho 0.5002 0.7347 0.4998  2 Sb 3.10-3.11, 2 Tl 3.20, 4 Ho 3.45
6 Sb 0.2818 0.0000 0.7182  7 Ho 2.97-3.11
7 Sb 0.7182 0.0000 0.2818  7 Ho 2.97-3.11
8 Ho 0.5003 0.7215 0.9998  2 Sb 2.97, 2 Tl 3.25-3.26, 1 Ho 3.31
9 Ho 0.0002 0.7215 0.4997  2 Sb 2.97, 2 Tl 3.25-3.26, 1 Ho 3.31
10 Ho 0.4998 0.2653 0.5002  2 Sb 3.10-3.11, 2 Tl 3.20, 4 Ho 3.45
11 Ho 0.9998 0.2785 0.5003  2 Sb 2.97, 2 Tl 3.25-3.26, 1 Ho 3.31

---

Entry 8:
The following is a PBE-GGA calculation of a relaxed structure of NpCdSn2, from the Alexandria database.

Summary:
- total magnetization (μB per atom) = 1.162
- crystal system = trigonal
- energy relative to the elements (meV/atom) = 236
- space group = No. 160
- energy above the most stable polymorph in this dataset (meV per atom) = 329

abc: 4.5082 4.5082 7.1052
angles: 71.50 71.50 60.00
Closest atoms and distances in Å follow each position.
Atoms (fractional coordinates):
1 Sn 0.0909 0.0909 0.7272  3 Cd 2.96, 1 Sn 3.02, 3 Np 3.12
2 Cd 0.4954 0.4954 0.5137  6 Sn 2.96-3.06
3 Sn 0.2430 0.2430 0.2709  1 Sn 3.02, 3 Cd 3.06, 3 Np 3.20
4 Np 0.6706 0.6706 0.9881  6 Sn 3.12-3.20, 1 Cd 3.47

---

Entry 9:
The following is a PBE-GGA calculation of a relaxed structure of RbScAs2O7, from the Alexandria database.

Summary:
- total magnetization (μB per atom) = 0.000
- crystal system = monoclinic
- space group = No. 14
- E (eV/atom) = -6.611

abc: 10.8112 8.0068 8.9434
angles: 73.24 90.00 90.00
Closest atoms and distances in Å follow each position.
Atoms (fractional coordinates):
1 O 0.4522 0.3468 0.6806  2 As 1.80-1.81
2 As 0.8635 0.5598 0.6917  4 O 1.69-1.81
3 O 0.8928 0.6919 0.5099  1 As 1.69
4 O 0.5478 0.6532 0.3194  2 As 1.80-1.81
5 O 0.4889 0.0041 0.2214  1 As 1.70
6 O 0.9215 0.3554 0.7245  1 As 1.70
7 O 0.2139 0.4505 0.7463  1 As 1.70
8 As 0.1365 0.4402 0.3083  4 O 1.69-1.81
9 O 0.0785 0.6446 0.2755  1 As 1.70
10 O 0.9522 0.6532 0.8194  2 As 1.80-1.81
11 As 0.9071 0.8641 0.8346  4 O 1.68-1.80
12 Sc 0.9000 0.7639 0.2642  6 O 2.05-2.14
13 O 0.7139 0.5495 0.7537  1 As 1.70
14 O 0.0111 0.0041 0.7214  1 As 1.70
15 O 0.3928 0.3081 0.9901  1 As 1.69
16 O 0.5893 0.8530 0.5249  1 As 1.68
17 O 0.9107 0.8530 0.0249  1 As 1.68
18 O 0.0893 0.1470 0.9751  1 As 1.68
19 Rb 0.3228 0.8278 0.0527  5 O 2.95-3.19
20 Sc 0.1000 0.2361 0.7358  6 O 2.05-2.14
21 Rb 0.6772 0.1722 0.9473  5 O 2.95-3.19
22 O 0.4107 0.1470 0.4751  1 As 1.68
23 O 0.1072 0.3081 0.4901  1 As 1.69
24 As 0.5929 0.8641 0.3346  4 O 1.68-1.80
25 As 0.4071 0.1359 0.6654  4 O 1.68-1.80
26 O 0.7361 0.9147 0.2543  1 As 1.70
27 O 0.5111 0.9959 0.7786  1 As 1.70
28 As 0.3635 0.4402 0.8083  4 O 1.69-1.81
29 O 0.7861 0.5495 0.2537  1 As 1.70
30 O 0.2639 0.0853 0.7457  1 As 1.70
31 O 0.7639 0.9147 0.7543  1 As 1.70
32 O 0.4215 0.6446 0.7755  1 As 1.70
33 O 0.0478 0.3468 0.1806  2 As 1.80-1.81
34 Rb 0.8228 0.1722 0.4473  5 O 2.95-3.19
35 O 0.6072 0.6919 0.0099  1 As 1.69
36 As 0.0929 0.1359 0.1654  4 O 1.68-1.80
37 Sc 0.6000 0.7639 0.7642  6 O 2.05-2.14
38 O 0.5785 0.3554 0.2245  1 As 1.70
39 Sc 0.4000 0.2361 0.2358  6 O 2.05-2.14
40 O 0.2861 0.4505 0.2463  1 As 1.70
41 O 0.9889 0.9959 0.2786  1 As 1.70
42 Rb 0.1772 0.8278 0.5527  5 O 2.95-3.19
43 O 0.2361 0.0853 0.2457  1 As 1.70
44 As 0.6365 0.5598 0.1917  4 O 1.69-1.81

---

Entry 10:
The following is a PBE-GGA calculation of a relaxed structure of Na6Tl12Sn, from the Alexandria database.

Summary:
- total magnetization (μB per atom) = 0.000
- crystal system = trigonal
- energy relative to the elements (meV/atom) = -73
- space group = No. 148

abc: 8.2516 8.2516 8.2516
angles: 90.55 90.55 90.55
Closest atoms and distances in Å follow each position.
Atoms (fractional coordinates):
1 Tl 0.7920 0.5312 0.4476  4 Na 3.28-3.48, 6 Tl 3.28-3.65
2 Tl 0.4476 0.7920 0.5312  4 Na 3.28-3.48, 6 Tl 3.28-3.65
3 Na 0.2654 0.7244 0.8862  9 Tl 3.28-3.59, 1 Sn 3.31, 2 Na 3.46
4 Na 0.7244 0.8862 0.2654  9 Tl 3.28-3.59, 1 Sn 3.31, 2 Na 3.46
5 Tl 0.5312 0.4476 0.7920  4 Na 3.28-3.48, 6 Tl 3.28-3.65
6 Tl 0.2080 0.4688 0.5524  4 Na 3.28-3.48, 6 Tl 3.28-3.65
7 Tl 0.1519 0.3730 0.0419  4 Tl 3.28-3.42, 5 Na 3.31-3.59, 1 Sn 3.33
8 Tl 0.5524 0.2080 0.4688  4 Na 3.28-3.48, 6 Tl 3.28-3.65
9 Na 0.1138 0.7346 0.2756  9 Tl 3.28-3.59, 1 Sn 3.31, 2 Na 3.46
10 Tl 0.9581 0.8481 0.6270  4 Tl 3.28-3.42, 5 Na 3.31-3.59, 1 Sn 3.33
11 Na 0.2756 0.1138 0.7346  9 Tl 3.28-3.59, 1 Sn 3.31, 2 Na 3.46
12 Tl 0.3730 0.0419 0.1519  4 Tl 3.28-3.42, 5 Na 3.31-3.59, 1 Sn 3.33
13 Na 0.8862 0.2654 0.7244  9 Tl 3.28-3.59, 1 Sn 3.31, 2 Na 3.46
14 Tl 0.4688 0.5524 0.2080  4 Na 3.28-3.48, 6 Tl 3.28-3.65
15 Sn 0.0000 0.0000 0.0000  6 Na 3.31, 6 Tl 3.33
16 Tl 0.6270 0.9581 0.8481  4 Tl 3.28-3.42, 5 Na 3.31-3.59, 1 Sn 3.33
17 Tl 0.0419 0.1519 0.3730  4 Tl 3.28-3.42, 5 Na 3.31-3.59, 1 Sn 3.33
18 Na 0.7346 0.2756 0.1138  9 Tl 3.28-3.59, 1 Sn 3.31, 2 Na 3.46
19 Tl 0.8481 0.6270 0.9581  4 Tl 3.28-3.42, 5 Na 3.31-3.59, 1 Sn 3.33